This record from Alexandria describes a geometry-optimized Th6PPt2S3 structure. The functional is PBE.

a b c (Å): 18.0984 4.0809 8.3792
angles (deg): 90.00 102.64 90.00
Last column: nearest neighbours and their distance in Å.
Space group C2/m (No. 12)
Symmetry-distinct sites (fractional):
Th (0.0022, 0.0000, 0.2549) [4 per cell]  2 P 2.90, 3 S 2.93-2.95, 1 Pt 2.97
Th (0.1647, 0.5000, 0.5831) [4 per cell]  1 P 2.91, 2 Pt 2.92, 3 S 2.92-2.96
Th (0.1656, 0.5000, 0.0804) [4 per cell]  3 Pt 2.91-2.98, 3 S 2.92-2.95
P (0.0000, 0.5000, 0.5000) [2 per cell]  6 Th 2.90-2.91
Pt (0.1659, 0.0000, 0.8328) [4 per cell]  6 Th 2.91-2.98
S (0.0000, 0.5000, 0.0000) [2 per cell]  6 Th 2.92-2.95
S (0.1678, 0.0000, 0.3352) [4 per cell]  6 Th 2.92-2.96

For the uncorrected energy, the calculation gives -7.7175 eV/atom. Its crystal system is monoclinic. Its energy relative to the elements, uncorrected is -1518 meV per atom.